Here is crystalline Hf3HgC at its relaxed geometry from Alexandria via LeMat-Bulk. Energies are from PBE.

* ΔE to the lowest computed polymorph: 351 meV/atom
* final energy: -8.035 eV per atom
* M_tot: 0.000 μB per atom

The structure in POSCAR format:
```
Hf3HgC
1.0
6.402 -6.876 0.000
6.402 6.876 0.000
0.000 0.000 4.561
Hf Hg C
12 4 4
Cartesian
4.442 3.614 3.421 Hf
2.255 1.072 3.421 Hf
2.255 -1.072 1.140 Hf
4.407 1.212 1.140 Hf
8.362 3.614 3.421 Hf
4.407 -1.212 3.421 Hf
8.397 1.212 1.140 Hf
4.442 -3.614 1.140 Hf
8.397 -1.212 3.421 Hf
10.549 1.072 3.421 Hf
10.549 -1.072 1.140 Hf
8.362 -3.614 1.140 Hf
6.402 3.640 1.140 Hg
6.402 1.213 3.421 Hg
6.402 -1.213 1.140 Hg
6.402 -3.640 3.421 Hg
2.158 1.136 1.140 C
2.158 -1.136 3.421 C
10.646 1.136 1.140 C
10.646 -1.136 3.421 C
```


Here is crystalline Dy6Cd5Au at its relaxed geometry from Alexandria via LeMat-Bulk. Energies are from PBE.

* final energy: -3.358 eV per atom
* M_tot: 0.000 μB per atom

The structure in POSCAR format:
```
Dy6Cd5Au
1.0
5.246 0.000 0.000
0.000 7.445 0.000
-2.601 0.000 7.884
Dy Cd Au
6 5 1
Cartesian
0.000 1.786 0.000 Dy
0.000 5.658 0.000 Dy
0.016 1.835 5.336 Dy
0.016 5.610 5.336 Dy
2.630 1.835 2.548 Dy
2.630 5.610 2.548 Dy
0.006 3.722 2.678 Cd
0.006 0.000 2.744 Cd
2.623 3.722 0.000 Cd
2.640 0.000 5.139 Cd
2.640 3.722 5.206 Cd
2.623 0.000 0.000 Au
```


no.,formation energy (meV per atom)
1,-158
2,-402